Entry 1:
{
  "formula": "Th4Tl3",
  "functional": "PBE",
  "state": "optimized geometry",
  "dft_energy_ev_per_fu": -36.51,
  "magmom_total_mub_per_cell": 0.0,
  "ef_ev_per_atom": 0.04,
  "cell": [[3.4965, 0.0000, 0.0000], [0.0000, 8.1996, -0.6831], [-1.7482, -3.3420, 7.8537]],
  "species": ["Th", "Th", "Th", "Th", "Tl", "Tl", "Tl"],
  "frac_coords": [[0.5669, 0.3989, 0.1339], [0.8430, 0.1587, 0.6861], [0.4331, 0.6011, 0.8661], [0.1570, 0.8413, 0.3139], [0.7879, 0.7012, 0.5758], [0.0000, 0.0000, 0.0000], [0.2121, 0.2988, 0.4242]]
}

***

Entry 2:
{
  "formula": "Ag3Hg5Cl16",
  "functional": "PBE",
  "state": "optimized geometry",
  "dft_energy_ev_per_fu": -50.19,
  "e_form_raw_ev_per_atom": -0.4409,
  "magmom_total_mub_per_cell": 2.5,
  "cell": [[-0.3116, -7.1760, 3.7353], [4.3359, -6.4810, -2.1775], [9.4251, 2.9184, 7.7512]],
  "species": ["Hg", "Hg", "Hg", "Hg", "Hg", "Cl", "Cl", "Cl", "Cl", "Cl", "Cl", "Cl", "Cl", "Cl", "Cl", "Cl", "Cl", "Cl", "Cl", "Cl", "Cl", "Ag", "Ag", "Ag"],
  "frac_coords": [[0.3271, 0.8269, 0.7820], [0.1803, 0.1803, 0.2922], [0.3279, 0.3279, 0.0250], [0.6827, 0.6827, 0.5165], [0.8269, 0.3271, 0.7820], [0.8524, 0.3498, 0.4109], [0.1314, 0.1314, 0.9023], [0.4916, 0.4916, 0.1680], [0.9810, 0.5049, 0.6534], [0.9988, 0.9988, 0.1799], [0.8608, 0.8608, 0.3995], [0.3498, 0.8524, 0.4109], [0.5049, 0.9810, 0.6534], [0.3572, 0.3572, 0.3991], [0.4871, 0.0186, 0.1536], [0.6397, 0.1494, 0.9010], [0.6677, 0.6677, 0.8990], [0.0186, 0.4871, 0.1536], [0.1494, 0.6397, 0.9010], [0.9755, 0.9755, 0.6761], [0.5110, 0.5110, 0.6666], [0.1813, 0.6759, 0.2872], [0.8211, 0.8211, 0.7839], [0.6759, 0.1813, 0.2872]]
}

***

Entry 3:
{
  "formula": "BaSi2Ag",
  "functional": "PBE",
  "state": "optimized geometry",
  "dft_energy_ev_per_fu": -16.08,
  "e_form_raw_ev_per_atom": -0.1154,
  "magmom_total_mub_per_cell": 0.0,
  "cell": [[-1.9543, -0.3945, 3.3289], [-2.1444, -3.3824, -1.6597], [4.3168, -3.7636, 2.0883]],
  "species": ["Si", "Si", "Ba", "Ag"],
  "frac_coords": [[0.0000, 0.1251, 0.0769], [0.5000, 0.1248, 0.3283], [0.5000, 0.6253, 0.7996], [0.0000, 0.6249, 0.2953]]
}

***

Entry 4:
{
  "formula": "Ac2Ni2Pb",
  "functional": "PBE",
  "state": "optimized geometry",
  "dft_energy_ev_per_fu": -25.27,
  "magmom_total_mub_per_cell": 0.0,
  "ef_ev_per_atom": -0.36,
  "cell": [[-0.6758, -1.9074, -3.5747], [3.6548, -6.4523, 2.7519], [-6.8929, -2.7278, 2.7586]],
  "species": ["Pb", "Pb", "Ni", "Ni", "Ni", "Ni", "Ac", "Ac", "Ac", "Ac"],
  "frac_coords": [[0.0000, 0.0000, 0.0000], [0.0000, 0.5000, 0.5000], [0.0000, 0.1108, 0.3892], [0.0000, 0.8892, 0.6108], [0.0000, 0.3892, 0.8892], [0.0000, 0.6108, 0.1108], [0.5000, 0.8199, 0.3199], [0.5000, 0.1801, 0.6801], [0.5000, 0.3199, 0.1801], [0.5000, 0.6801, 0.8199]]
}

***

Entry 5:
{
  "formula": "Ba2MoH",
  "functional": "PBE",
  "state": "optimized geometry",
  "dft_energy_ev_per_fu": -14.90,
  "magmom_total_mub_per_cell": 6.5,
  "cell": [[7.8196, 0.0000, 0.0000], [0.0000, 7.8196, 0.0000], [3.9098, 3.9098, 4.1803]],
  "species": ["Ba", "Ba", "Ba", "Ba", "H", "H", "Mo", "Mo"],
  "frac_coords": [[0.5416, 0.1250, 0.2500], [0.2084, 0.6250, 0.2500], [0.3750, 0.4584, 0.7500], [0.8750, 0.7916, 0.7500], [0.5000, 0.5000, 0.0000], [0.2500, 0.7500, 0.5000], [0.0000, 0.0000, 0.0000], [0.7500, 0.2500, 0.5000]]
}

***

Entry 6:
{
  "formula": "Pm2NiBi",
  "functional": "PBE",
  "state": "optimized geometry",
  "dft_energy_ev_per_fu": -20.81,
  "magmom_total_mub_per_cell": 0.0,
  "ef_ev_per_atom": -0.41,
  "cell": [[-1.4064, -1.7654, 3.7250], [2.7301, -0.4504, 3.3636], [-1.3641, 5.5750, 4.6735]],
  "species": ["Pm", "Pm", "Bi", "Ni"],
  "frac_coords": [[0.7628, 0.7628, 0.7116], [0.2372, 0.2372, 0.2884], [0.0000, 0.0000, 0.0000], [0.5000, 0.5000, 0.5000]]
}

***

Entry 7:
{
  "formula": "KCeI4",
  "functional": "PBE",
  "state": "optimized geometry",
  "dft_energy_ev_per_fu": -21.56,
  "e_form_raw_ev_per_atom": -1.3880,
  "magmom_total_mub_per_cell": 2.0,
  "cell": [[-3.4849, 1.2494, -3.0271], [-7.4447, -7.4005, 1.7388], [-8.0677, 6.2237, 8.0794]],
  "species": ["K", "K", "Ce", "Ce", "I", "I", "I", "I", "I", "I", "I", "I"],
  "frac_coords": [[0.7500, 0.7500, 0.2500], [0.2500, 0.2500, 0.7500], [0.5000, 0.5000, 0.0000], [0.0000, 0.0000, 0.5000], [0.6646, 0.2159, 0.9548], [0.3354, 0.7841, 0.0452], [0.1646, 0.7159, 0.4548], [0.4524, 0.9276, 0.6677], [0.8354, 0.2841, 0.5452], [0.9524, 0.4276, 0.1677], [0.0476, 0.5724, 0.8323], [0.5476, 0.0724, 0.3323]]
}

***

Entry 8:
{
  "formula": "SmTmCl3",
  "functional": "PBE",
  "state": "optimized geometry",
  "dft_energy_ev_per_fu": -23.85,
  "e_form_raw_ev_per_atom": -1.8245,
  "magmom_total_mub_per_cell": 0.0,
  "cell": [[3.7332, 0.0000, 0.7508], [1.4128, 8.0179, 2.6319], [-0.0117, 0.0003, 9.7148]],
  "species": ["Sm", "Sm", "Tm", "Tm", "Cl", "Cl", "Cl", "Cl", "Cl", "Cl"],
  "frac_coords": [[0.8604, 0.9893, 0.2898], [0.1396, 0.0107, 0.7102], [0.4217, 0.2009, 0.9558], [0.5783, 0.7991, 0.0442], [0.6622, 0.1838, 0.4917], [0.7858, 0.3158, 0.1125], [0.9584, 0.3301, 0.7531], [0.2142, 0.6842, 0.8875], [0.3378, 0.8162, 0.5083], [0.0416, 0.6699, 0.2469]]
}

***

Entry 9:
{
  "formula": "CaMnIr",
  "functional": "PBE",
  "state": "optimized geometry",
  "dft_energy_ev_per_fu": -16.44,
  "magmom_total_mub_per_cell": 6.8,
  "ef_ev_per_atom": 1.20,
  "cell": [[-3.6240, -3.3644, -0.8702], [4.7347, -1.5283, 0.6761], [-1.4491, -0.6714, 8.6303]],
  "species": ["Mn", "Mn", "Ca", "Ca", "Ir", "Ir"],
  "frac_coords": [[0.0000, 0.0000, 0.2500], [0.0000, 0.0000, 0.7500], [0.6667, 0.3333, 0.7500], [0.3333, 0.6667, 0.2500], [0.0000, 0.0000, 0.5000], [0.0000, 0.0000, 0.0000]]
}

***

Entry 10:
{
  "formula": "Pm2CoAg",
  "functional": "PBE",
  "state": "optimized geometry",
  "dft_energy_ev_per_fu": -20.02,
  "magmom_total_mub_per_cell": 0.7,
  "ef_ev_per_atom": -0.14,
  "cell": [[3.4838, 0.0000, 0.0000], [0.0000, 3.4838, 0.0000], [0.0000, 0.0000, 7.6428]],
  "species": ["Pm", "Pm", "Ag", "Co"],
  "frac_coords": [[0.0000, 0.0000, 0.7782], [0.0000, 0.0000, 0.2218], [0.5000, 0.5000, 0.5000], [0.5000, 0.5000, 0.0000]]
}

***

Entry 11:
{
  "formula": "CrAu4",
  "functional": "PBE",
  "state": "optimized geometry",
  "dft_energy_ev_per_fu": -22.61,
  "magmom_total_mub_per_cell": 3.7,
  "ef_ev_per_atom": 0.03,
  "cell": [[4.0839, -0.0004, -0.0028], [2.0414, 4.6270, -0.0021], [2.0387, -0.0009, 4.6269]],
  "species": ["Au", "Au", "Au", "Au", "Cr"],
  "frac_coords": [[0.2037, 0.3982, 0.1945], [0.6022, 0.1945, 0.6018], [0.7963, 0.6018, 0.8055], [0.3978, 0.8055, 0.3982], [0.0000, 0.0000, 0.0000]]
}

***

Entry 12:
{
  "formula": "Ti4CuOs",
  "functional": "PBE",
  "state": "optimized geometry",
  "dft_energy_ev_per_fu": -48.58,
  "magmom_total_mub_per_cell": 0.0,
  "ef_ev_per_atom": -0.28,
  "cell": [[3.0454, -0.0006, 0.0001], [0.0006, 3.0454, 0.0001], [-0.0005, -0.0005, 10.0742]],
  "species": ["Os", "Cu", "Ti", "Ti", "Ti", "Ti"],
  "frac_coords": [[0.0000, 0.0000, 0.0000], [0.5000, 0.5000, 0.5000], [0.5000, 0.5000, 0.1548], [0.5000, 0.5000, 0.8452], [0.0000, 0.0000, 0.3352], [0.0000, 0.0000, 0.6648]]
}

***

Entry 13:
{
  "formula": "TaGaP3",
  "functional": "PBE",
  "state": "optimized geometry",
  "dft_energy_ev_per_fu": -29.56,
  "magmom_total_mub_per_cell": 0.0,
  "ef_ev_per_atom": 0.31,
  "cell": [[-0.0920, -4.5607, 1.6257], [4.3022, -0.8229, -2.0652], [2.2212, 1.4051, 4.0673]],
  "species": ["P", "P", "P", "Ta", "Ga"],
  "frac_coords": [[0.0000, 0.0000, 0.5000], [0.5000, 0.0000, 0.0000], [0.0000, 0.5000, 0.0000], [0.0000, 0.0000, 0.0000], [0.5000, 0.5000, 0.5000]]
}

***

Entry 14:
{
  "formula": "Ta2IrPt",
  "functional": "PBE",
  "state": "optimized geometry",
  "dft_energy_ev_per_fu": -39.82,
  "magmom_total_mub_per_cell": 0.0,
  "ef_ev_per_atom": -0.30,
  "cell": [[4.5299, 0.0000, 0.0000], [2.2650, 3.9230, 0.0000], [2.2650, 1.3077, 3.6987]],
  "species": ["Ir", "Ta", "Ta", "Pt"],
  "frac_coords": [[0.5000, 0.5000, 0.5000], [0.7500, 0.7500, 0.7500], [0.0000, 0.0000, 0.0000], [0.2500, 0.2500, 0.2500]]
}

***

Entry 15:
{
  "formula": "LaLuCdGa",
  "functional": "PBE",
  "state": "optimized geometry",
  "dft_energy_ev_per_fu": -15.06,
  "magmom_total_mub_per_cell": 0.0,
  "ef_ev_per_atom": -0.42,
  "cell": [[-1.8273, 4.6410, 1.7434], [-4.9029, 1.5389, -1.2290], [-3.7400, 0.1340, 3.7299]],
  "species": ["Cd", "Lu", "La", "Ga"],
  "frac_coords": [[0.7500, 0.7500, 0.7500], [0.5000, 0.5000, 0.5000], [0.0000, 0.0000, 0.0000], [0.2500, 0.2500, 0.2500]]
}

***

Entry 16:
{
  "formula": "Er6Tl2Cu",
  "functional": "PBE",
  "state": "optimized geometry",
  "dft_energy_ev_per_fu": -36.17,
  "magmom_total_mub_per_cell": 0.0,
  "ef_ev_per_atom": 0.00,
  "cell": [[5.0348, 0.0000, -0.1946], [0.0000, 7.1679, 0.0000], [-2.2299, -3.5840, 7.5666]],
  "species": ["Er", "Er", "Er", "Er", "Er", "Er", "Cu", "Tl", "Tl"],
  "frac_coords": [[0.1568, 0.3971, 0.3139], [0.5000, 0.7702, 0.0000], [0.8432, 0.6029, 0.6861], [0.8432, 0.0833, 0.6861], [0.5000, 0.2298, 0.0000], [0.1568, 0.9167, 0.3139], [0.0000, 0.0000, 0.0000], [0.3326, 0.3323, 0.6646], [0.6674, 0.6677, 0.3354]]
}

***

Entry 17:
{
  "formula": "SrPdRu3",
  "functional": "PBE",
  "state": "optimized geometry",
  "dft_energy_ev_per_fu": -21.48,
  "magmom_total_mub_per_cell": 5.3,
  "ef_ev_per_atom": 2.64,
  "cell": [[4.8286, 0.0000, 0.0000], [0.0000, 4.8286, 0.0000], [0.0000, 0.0000, 4.8286]],
  "species": ["Pd", "Ru", "Ru", "Ru", "Sr"],
  "frac_coords": [[0.5000, 0.5000, 0.5000], [0.5000, 0.0000, 0.0000], [0.0000, 0.5000, 0.0000], [0.0000, 0.0000, 0.5000], [0.0000, 0.0000, 0.0000]]
}

***

Entry 18:
{
  "formula": "Nb2V4W5",
  "functional": "PBE",
  "state": "optimized geometry",
  "dft_energy_ev_per_fu": -121.77,
  "magmom_total_mub_per_cell": 0.0,
  "ef_ev_per_atom": -0.04,
  "cell": [[2.7584, -0.1772, 0.0340], [-0.4782, 6.7228, -0.3415], [1.7498, -0.1219, 9.3130]],
  "species": ["W", "W", "W", "W", "W", "V", "V", "V", "V", "Nb", "Nb"],
  "frac_coords": [[0.9521, 0.7179, 0.1758], [0.0479, 0.2821, 0.8242], [0.3130, 0.9037, 0.7334], [0.5000, 0.0000, 0.0000], [0.6870, 0.0963, 0.2666], [0.5809, 0.5475, 0.6459], [0.4191, 0.4525, 0.3541], [0.2251, 0.3654, 0.0889], [0.7749, 0.6346, 0.9111], [0.1327, 0.8070, 0.4546], [0.8673, 0.1930, 0.5454]]
}

***

Entry 19:
{
  "formula": "Ti3PIr",
  "functional": "PBE",
  "state": "optimized geometry",
  "dft_energy_ev_per_fu": -38.80,
  "magmom_total_mub_per_cell": 0.0,
  "ef_ev_per_atom": -0.17,
  "cell": [[4.4345, 0.0000, 0.0000], [0.0000, 4.4345, 0.0000], [0.0000, 0.0000, 4.4345]],
  "species": ["Ir", "P", "Ti", "Ti", "Ti"],
  "frac_coords": [[0.5000, 0.5000, 0.5000], [0.0000, 0.0000, 0.0000], [0.0000, 0.5000, 0.0000], [0.0000, 0.0000, 0.5000], [0.5000, 0.0000, 0.0000]]
}

***

Entry 20:
{
  "formula": "Al2Hg",
  "functional": "PBE",
  "state": "optimized geometry",
  "dft_energy_ev_per_fu": -7.46,
  "magmom_total_mub_per_cell": 0.0,
  "ef_ev_per_atom": 0.11,
  "cell": [[1.5077, 6.0835, 0.0982], [-1.5077, 6.0835, 0.0982], [0.0000, 3.6035, 6.6152]],
  "species": ["Hg", "Hg", "Al", "Al", "Al", "Al"],
  "frac_coords": [[0.6503, 0.6503, 0.3999], [0.3497, 0.3497, 0.6001], [0.9361, 0.9361, 0.2230], [0.3453, 0.3453, 0.0047], [0.0639, 0.0639, 0.7770], [0.6547, 0.6547, 0.9953]]
}